one) # Dy3Y7Tm PBE relaxed
# Total moment in μB/cell: 0.00
data_Dy3Y7Tm
_chemical_formula_sum 'Dy3 Y7 Tm1'
_cell_length_a 6.916
_cell_length_b 5.528
_cell_length_c 9.970
_cell_angle_alpha 90.00
_cell_angle_beta 109.51
_cell_angle_gamma 90.00
_space_group_name_H-M_alt 'P 1 2/m 1'
_space_group_IT_number 10
_space_group_name_Hall '-P 2y'
loop_
_atom_site_label
_atom_site_type_symbol
_atom_site_fract_x
_atom_site_fract_y
_atom_site_fract_z
_atom_site_occupancy
Dy1 Dy 0.000 0.000 0.000 1
Dy2 Dy 0.278 0.500 0.497 1
Y1 Y 0.000 0.000 0.500 1
Y2 Y 0.148 0.500 0.789 1
Y3 Y 0.318 0.500 0.137 1
Y4 Y 0.422 0.000 0.330 1
Tm1 Tm 0.500 0.000 0.000 1

two) # Dy3Y7Tm PBE relaxed
# Total moment in μB/cell: 0.00
data_Dy3Y7Tm
_chemical_formula_sum 'Dy3 Y7 Tm1'
_cell_length_a 7.0674
_cell_length_b 7.0674
_cell_length_c 8.5828
_cell_angle_alpha 90.00
_cell_angle_beta 90.00
_cell_angle_gamma 120.00
_space_group_name_H-M_alt 'P 3 m 1'
_space_group_IT_number 156
_space_group_name_Hall 'P 3 -2"'
loop_
_atom_site_label
_atom_site_type_symbol
_atom_site_fract_x
_atom_site_fract_y
_atom_site_fract_z
_atom_site_occupancy
Dy1 Dy 0.0008 0.5004 0.0000 1
Y1 Y 0.1680 0.3360 0.3349 1
Y2 Y 0.3354 0.1677 0.6680 1
Y3 Y 0.6667 0.3333 0.3362 1
Tm1 Tm 0.3333 0.6667 0.6656 1

Ranked by calculated energy, most stable first: one), two).